Compound: Tb12Er7Sc
Source: Alexandria
Functional: PBE
Structure: optimized geometry

abc: 11.312 11.312 11.312
angles: 116.88 116.88 116.88
Element x y z (fractional)
Tb  0.001  0.586  0.415
Tb  0.080  0.433  0.081
Tb  0.081  0.080  0.433
Tb  0.414  0.585  0.999
Tb  0.415  0.001  0.586
Tb  0.433  0.081  0.080
Tb  0.567  0.919  0.920
Tb  0.585  0.999  0.414
Tb  0.586  0.415  0.001
Tb  0.919  0.920  0.567
Tb  0.920  0.567  0.919
Tb  0.999  0.414  0.585
Er  0.000  0.000  0.000
Er  0.140  0.381  0.382
Er  0.381  0.382  0.140
Er  0.382  0.140  0.381
Er  0.618  0.860  0.619
Er  0.619  0.618  0.860
Er  0.860  0.619  0.618
Sc  0.500  0.500  0.500

For the density of states at the Fermi level, the calculation gives 1.3865 states/eV per atom. For the energy above the most stable polymorph in this dataset, the calculation gives 59 meV per atom. As for the total moment: 0.000 μB/atom. The raw total energy is -89.05 eV/f.u.